No. 1
## Co2ReHRu (PBE)

Data for a relaxed Co2ReHRu crystal.

Unit cell a=3.707 b=3.707 c=3.768 alpha=90.00 beta=90.00 gamma=90.00
Space group P4/mmm (No. 123)
Unique sites:
Co (0.000, 0.500, 0.000) [2 per cell]
Re (0.000, 0.000, 0.500) [1 per cell]
H (0.500, 0.500, 0.000) [1 per cell]
Ru (0.500, 0.500, 0.500) [1 per cell]

Its relative energy among the computed polymorphs is 0.00 eV/f.u.



No. 2
## Co2ReHRu (PBE)

Data for a relaxed Co2ReHRu crystal.

Unit cell a=3.692 b=3.692 c=3.827 alpha=90.00 beta=90.00 gamma=90.00
Space group P4/mmm (No. 123)
Unique sites:
Co (0.000, 0.500, 0.000) [2 per cell]
Re (0.000, 0.000, 0.500) [1 per cell]
H (0.000, 0.000, 0.000) [1 per cell]
Ru (0.500, 0.500, 0.500) [1 per cell]

Its relative energy among the computed polymorphs is 0.15 eV/f.u.



No. 3
## CoRe2HRu (PBE)

Data for a relaxed CoRe2HRu crystal.

Unit cell a=3.860 b=3.860 c=3.795 alpha=90.00 beta=90.00 gamma=90.00
Space group P4/mmm (No. 123)
Unique sites:
Co (0.000, 0.000, 0.000) [1 per cell]
Re (0.000, 0.500, 0.500) [2 per cell]
H (0.000, 0.000, 0.500) [1 per cell]
Ru (0.500, 0.500, 0.000) [1 per cell]



No. 4
## CoReHRu2 (PBE)

Data for a relaxed CoReHRu2 crystal.

Unit cell a=3.857 b=3.857 c=3.716 alpha=90.00 beta=90.00 gamma=90.00
Space group P4/mmm (No. 123)
Unique sites:
Co (0.000, 0.000, 0.000) [1 per cell]
Re (0.500, 0.500, 0.000) [1 per cell]
H (0.000, 0.000, 0.500) [1 per cell]
Ru (0.000, 0.500, 0.500) [2 per cell]

Its relative energy among the computed polymorphs is 0.00 eV/f.u.



No. 5
## Sc2CoReH (PBE)

Data for a relaxed Sc2CoReH crystal.

Unit cell a=4.896 b=4.896 c=4.306 alpha=90.00 beta=90.00 gamma=90.00
Space group P4/mmm (No. 123)
Unique sites:
Sc (0.000, 0.500, 0.000) [2 per cell]
Co (0.000, 0.000, 0.000) [1 per cell]
Re (0.000, 0.000, 0.500) [1 per cell]
H (0.500, 0.500, 0.500) [1 per cell]

Its relative energy among the computed polymorphs is 1.38 eV/f.u.



No. 6
## Sc2CoReH (PBE)

Data for a relaxed Sc2CoReH crystal.

Unit cell a=5.064 b=5.064 c=3.321 alpha=90.00 beta=90.00 gamma=90.00
Space group P4/mmm (No. 123)
Unique sites:
Sc (0.000, 0.500, 0.000) [2 per cell]
Co (0.000, 0.000, 0.500) [1 per cell]
Re (0.500, 0.500, 0.000) [1 per cell]
H (0.500, 0.500, 0.500) [1 per cell]

Its relative energy among the computed polymorphs is 0.00 eV/f.u.



No. 7
## SrCoReH2 (PBE)

Data for a relaxed SrCoReH2 crystal.

Unit cell a=4.046 b=4.046 c=5.385 alpha=90.00 beta=90.00 gamma=90.00
Space group P4/mmm (No. 123)
Unique sites:
Sr (0.000, 0.000, 0.000) [1 per cell]
Co (0.000, 0.000, 0.500) [1 per cell]
Re (0.500, 0.500, 0.000) [1 per cell]
H (0.000, 0.500, 0.500) [2 per cell]



No. 8
## TaCo2ReH (PBE)

Data for a relaxed TaCo2ReH crystal.

Unit cell a=3.731 b=3.731 c=3.980 alpha=90.00 beta=90.00 gamma=90.00
Space group P4/mmm (No. 123)
Unique sites:
Ta (0.000, 0.000, 0.000) [1 per cell]
Co (0.000, 0.500, 0.500) [2 per cell]
Re (0.500, 0.500, 0.000) [1 per cell]
H (0.000, 0.000, 0.500) [1 per cell]

Its relative energy among the computed polymorphs is 0.14 eV/f.u.



No. 9
## Ta2CoReH (PBE)

Data for a relaxed Ta2CoReH crystal.

Unit cell a=4.366 b=4.366 c=3.346 alpha=90.00 beta=90.00 gamma=90.00
Space group P4/mmm (No. 123)
Unique sites:
Ta (0.000, 0.500, 0.000) [2 per cell]
Co (0.000, 0.000, 0.500) [1 per cell]
Re (0.500, 0.500, 0.500) [1 per cell]
H (0.000, 0.000, 0.000) [1 per cell]

Its relative energy among the computed polymorphs is 0.00 eV/f.u.



No. 10
## Ta2CoReH (PBE)

Data for a relaxed Ta2CoReH crystal.

Unit cell a=4.222 b=4.222 c=3.635 alpha=90.00 beta=90.00 gamma=90.00
Space group P4/mmm (No. 123)
Unique sites:
Ta (0.000, 0.500, 0.000) [2 per cell]
Co (0.000, 0.000, 0.500) [1 per cell]
Re (0.500, 0.500, 0.500) [1 per cell]
H (0.500, 0.500, 0.000) [1 per cell]

Its relative energy among the computed polymorphs is 0.93 eV/f.u.



No. 11
## TaCo2ReH (PBE)

Data for a relaxed TaCo2ReH crystal.

Unit cell a=3.763 b=3.763 c=3.912 alpha=90.00 beta=90.00 gamma=90.00
Space group P4/mmm (No. 123)
Unique sites:
Ta (0.000, 0.000, 0.000) [1 per cell]
Co (0.000, 0.500, 0.500) [2 per cell]
Re (0.500, 0.500, 0.000) [1 per cell]
H (0.500, 0.500, 0.500) [1 per cell]

Its relative energy among the computed polymorphs is 0.00 eV/f.u.



No. 12
## CoReTe2H (PBE)

Data for a relaxed CoReTe2H crystal.

Unit cell a=4.763 b=4.763 c=3.456 alpha=90.00 beta=90.00 gamma=90.00
Space group P4/mmm (No. 123)
Unique sites:
Co (0.000, 0.000, 0.000) [1 per cell]
Re (0.500, 0.500, 0.000) [1 per cell]
Te (0.000, 0.500, 0.500) [2 per cell]
H (0.500, 0.500, 0.500) [1 per cell]



No. 13
## V2CoReH (PBE)

Data for a relaxed V2CoReH crystal.

Unit cell a=4.070 b=4.070 c=3.265 alpha=90.00 beta=90.00 gamma=90.00
Space group P4/mmm (No. 123)
Unique sites:
V (0.000, 0.500, 0.000) [2 per cell]
Co (0.000, 0.000, 0.500) [1 per cell]
Re (0.500, 0.500, 0.500) [1 per cell]
H (0.000, 0.000, 0.000) [1 per cell]

Its relative energy among the computed polymorphs is 0.00 eV/f.u.



No. 14
## VCo2ReH (PBE)

Data for a relaxed VCo2ReH crystal.

Unit cell a=3.619 b=3.619 c=3.874 alpha=90.00 beta=90.00 gamma=90.00
Space group P4/mmm (No. 123)
Unique sites:
V (0.000, 0.000, 0.000) [1 per cell]
Co (0.000, 0.500, 0.500) [2 per cell]
Re (0.500, 0.500, 0.000) [1 per cell]
H (0.500, 0.500, 0.500) [1 per cell]

Its relative energy among the computed polymorphs is 0.22 eV/f.u.



No. 15
## V2CoReH (PBE)

Data for a relaxed V2CoReH crystal.

Unit cell a=3.807 b=3.807 c=3.767 alpha=90.00 beta=90.00 gamma=90.00
Space group P4/mmm (No. 123)
Unique sites:
V (0.000, 0.500, 0.000) [2 per cell]
Co (0.000, 0.000, 0.500) [1 per cell]
Re (0.500, 0.500, 0.500) [1 per cell]
H (0.500, 0.500, 0.000) [1 per cell]

Its relative energy among the computed polymorphs is 0.74 eV/f.u.



No. 16
## VCo2ReH (PBE)

Data for a relaxed VCo2ReH crystal.

Unit cell a=3.600 b=3.600 c=3.869 alpha=90.00 beta=90.00 gamma=90.00
Space group P4/mmm (No. 123)
Unique sites:
V (0.000, 0.000, 0.000) [1 per cell]
Co (0.000, 0.500, 0.500) [2 per cell]
Re (0.500, 0.500, 0.000) [1 per cell]
H (0.000, 0.000, 0.500) [1 per cell]

Its relative energy among the computed polymorphs is 0.00 eV/f.u.



No. 17
## CoReHW2 (PBE)

Data for a relaxed CoReHW2 crystal.

Unit cell a=4.018 b=4.018 c=3.699 alpha=90.00 beta=90.00 gamma=90.00
Space group P4/mmm (No. 123)
Unique sites:
Co (0.000, 0.000, 0.000) [1 per cell]
Re (0.500, 0.500, 0.000) [1 per cell]
H (0.000, 0.000, 0.500) [1 per cell]
W (0.000, 0.500, 0.500) [2 per cell]



No. 18
## Co2ReHW (PBE)

Data for a relaxed Co2ReHW crystal.

Unit cell a=3.700 b=3.700 c=3.939 alpha=90.00 beta=90.00 gamma=90.00
Space group P4/mmm (No. 123)
Unique sites:
Co (0.000, 0.500, 0.000) [2 per cell]
Re (0.000, 0.000, 0.500) [1 per cell]
H (0.500, 0.500, 0.000) [1 per cell]
W (0.500, 0.500, 0.500) [1 per cell]

Its relative energy among the computed polymorphs is 0.15 eV/f.u.



No. 19
## Co2ReHW (PBE)

Data for a relaxed Co2ReHW crystal.

Unit cell a=3.719 b=3.719 c=3.888 alpha=90.00 beta=90.00 gamma=90.00
Space group P4/mmm (No. 123)
Unique sites:
Co (0.000, 0.500, 0.000) [2 per cell]
Re (0.000, 0.000, 0.500) [1 per cell]
H (0.000, 0.000, 0.000) [1 per cell]
W (0.500, 0.500, 0.500) [1 per cell]

Its relative energy among the computed polymorphs is 0.00 eV/f.u.



No. 20
## YCoReH2 (PBE)

Data for a relaxed YCoReH2 crystal.

Unit cell a=3.642 b=3.642 c=5.479 alpha=90.00 beta=90.00 gamma=90.00
Space group P4/mmm (No. 123)
Unique sites:
Y (0.000, 0.000, 0.000) [1 per cell]
Co (0.000, 0.000, 0.500) [1 per cell]
Re (0.500, 0.500, 0.500) [1 per cell]
H (0.000, 0.500, 0.000) [2 per cell]



no.,uncorrected energy (eV per atom)
1,-7.75
2,-7.72
3,-8.79
4,-8.20
5,-6.24
6,-6.51
7,-3.79
8,-8.43
9,-9.51
10,-9.32
11,-8.46
12,-5.08
13,-8.37
14,-7.88
15,-8.23
16,-7.92
17,-9.66
18,-8.52
19,-8.55
20,-5.62